# 1
First-principles (SCAN) data for ZnInAs2Br at its PBEsol-relaxed geometry, as listed in the Alexandria database.

```
data_ZnInAs2Br
_cell_length_a 5.2223
_cell_length_b 5.2223
_cell_length_c 5.3758
_cell_angle_alpha 90.00
_cell_angle_beta 90.00
_cell_angle_gamma 90.00
_space_group_name_H-M_alt 'P 4/m m m'
_space_group_IT_number 123
_space_group_name_Hall '-P 4 2'
loop_
_atom_site_label
_atom_site_fract_x
_atom_site_fract_y
_atom_site_fract_z
Zn1 0.0000 0.0000 0.0000
In1 0.5000 0.5000 0.5000
As1 0.0000 0.5000 0.5000
Br1 0.5000 0.5000 0.0000
```

Output
- E: -1.5168 Ry/atom
- DOS(E_F): 0.7379 states/eV per atom
- Formation energy from raw total energies: 3.6 eV/f.u.
- Volume: 29.322 Å³/atom

# 2
First-principles (SCAN) data for Ho2TeO6 at its PBEsol-relaxed geometry, as listed in the Alexandria database.

```
data_Ho2TeO6
_cell_length_a 5.2274
_cell_length_b 8.9992
_cell_length_c 9.8559
_cell_angle_alpha 90.00
_cell_angle_beta 90.00
_cell_angle_gamma 90.00
_space_group_name_H-M_alt 'P 21 21 21'
_space_group_IT_number 19
_space_group_name_Hall 'P 2ac 2ab'
loop_
_atom_site_label
_atom_site_fract_x
_atom_site_fract_y
_atom_site_fract_z
Ho1 0.0208 0.1032 0.4636
Ho2 0.0403 0.2176 0.8670
Te1 0.0396 0.4947 0.3508
O1 0.0841 0.8438 0.0270
O2 0.1699 0.9485 0.3016
O3 0.1766 0.6414 0.8206
O4 0.1881 0.6427 0.2358
O5 0.2346 0.1141 0.0683
O6 0.2462 0.5877 0.4947
```

Output
- E: -1.6179 Ry/atom
- DOS(E_F): 0.0000 states/eV per atom
- Formation energy from raw total energies: -25.5 eV/f.u.
- Volume: 12.879 Å³/atom

# 3
First-principles (SCAN) data for Zn2CrTc at its PBEsol-relaxed geometry, as listed in the Alexandria database.

```
data_Zn2CrTc
_cell_length_a 2.9853
_cell_length_b 2.9853
_cell_length_c 5.9102
_cell_angle_alpha 90.00
_cell_angle_beta 90.00
_cell_angle_gamma 90.00
_space_group_name_H-M_alt 'P 4 m m'
_space_group_IT_number 99
_space_group_name_Hall 'P 4 -2'
loop_
_atom_site_label
_atom_site_fract_x
_atom_site_fract_y
_atom_site_fract_z
Zn1 0.0000 0.0000 0.0000
Zn2 0.5000 0.5000 0.2464
Cr1 0.0000 0.0000 0.5154
Tc1 0.5000 0.5000 0.7135
```

Output
- E: -1.4783 Ry/atom
- DOS(E_F): 0.5237 states/eV per atom
- DFT formation energy: 0.5 kJ/mol of atoms
- Volume: 13.168 Å³/atom

# 4
First-principles (SCAN) data for LaCdP2O at its PBEsol-relaxed geometry, as listed in the Alexandria database.

```
data_LaCdP2O
_cell_length_a 5.5930
_cell_length_b 5.5930
_cell_length_c 4.1344
_cell_angle_alpha 90.00
_cell_angle_beta 90.00
_cell_angle_gamma 90.00
_space_group_name_H-M_alt 'P 4/m m m'
_space_group_IT_number 123
_space_group_name_Hall '-P 4 2'
loop_
_atom_site_label
_atom_site_fract_x
_atom_site_fract_y
_atom_site_fract_z
La1 0.0000 0.0000 0.0000
Cd1 0.5000 0.5000 0.5000
P1 0.0000 0.5000 0.0000
O1 0.0000 0.0000 0.5000
```

Output
- E: -1.4818 Ry/atom
- DOS(E_F): 0.8157 states/eV per atom
- Formation energy from raw total energies: -0.3 eV/f.u.
- Volume: 25.866 Å³/atom

# 5
First-principles (SCAN) data for ScRhBr at its PBEsol-relaxed geometry, as listed in the Alexandria database.

```
data_ScRhBr
_cell_length_a 3.1763
_cell_length_b 3.1763
_cell_length_c 10.9345
_cell_angle_alpha 90.00
_cell_angle_beta 90.00
_cell_angle_gamma 90.00
_space_group_name_H-M_alt 'I 4 m m'
_space_group_IT_number 107
_space_group_name_Hall 'I 4 -2'
loop_
_atom_site_label
_atom_site_fract_x
_atom_site_fract_y
_atom_site_fract_z
Sc1 0.0000 0.0000 0.0000
Rh1 0.0000 0.0000 0.3667
Br1 0.0000 0.0000 0.6699
```

Output
- E: -1.7052 Ry/atom
- DOS(E_F): 0.3875 states/eV per atom
- Formation energy from raw total energies: -2.1 eV/f.u.
- Volume: 18.387 Å³/atom

# 6
First-principles (SCAN) data for Te6MoW3Se2 at its PBEsol-relaxed geometry, as listed in the Alexandria database.

```
data_Te6MoW3Se2
_cell_length_a 3.4330
_cell_length_b 3.4330
_cell_length_c 27.5492
_cell_angle_alpha 90.00
_cell_angle_beta 90.00
_cell_angle_gamma 120.00
_space_group_name_H-M_alt 'P -6 m 2'
_space_group_IT_number 187
_space_group_name_Hall 'P -6 2'
loop_
_atom_site_label
_atom_site_fract_x
_atom_site_fract_y
_atom_site_fract_z
Te1 0.0000 0.0000 0.0664
Te2 0.3333 0.6667 0.1887
Te3 0.3333 0.6667 0.3224
Mo1 0.3333 0.6667 0.0000
W1 0.0000 0.0000 0.2556
W2 0.3333 0.6667 0.5000
Se1 0.0000 0.0000 0.4412
```

Output
- E: -3.1230 Ry/atom
- Formation energy from raw total energies: -2.3 eV/f.u.
- Volume: 23.433 Å³/atom

# 7
First-principles (SCAN) data for ZrAg8 at its PBEsol-relaxed geometry, as listed in the Alexandria database.

```
data_ZrAg8
_cell_length_a 8.7323
_cell_length_b 8.7323
_cell_length_c 4.0492
_cell_angle_alpha 90.00
_cell_angle_beta 90.00
_cell_angle_gamma 90.00
_space_group_name_H-M_alt 'I 4/m m m'
_space_group_IT_number 139
_space_group_name_Hall '-I 4 2'
loop_
_atom_site_label
_atom_site_fract_x
_atom_site_fract_y
_atom_site_fract_z
Zr1 0.0000 0.0000 0.0000
Ag1 0.0000 0.3344 0.0000
Ag2 0.1677 0.1677 0.5000
```

Output
- E: -2.2961 Ry/atom
- DOS(E_F): 0.5581 states/eV per atom
- DFT formation energy: 5.1 kJ/mol of atoms
- Volume: 17.154 Å³/atom

# 8
First-principles (SCAN) data for LiPt4Pb at its PBEsol-relaxed geometry, as listed in the Alexandria database.

```
data_LiPt4Pb
_cell_length_a 7.5084
_cell_length_b 7.5084
_cell_length_c 7.5084
_cell_angle_alpha 90.00
_cell_angle_beta 90.00
_cell_angle_gamma 90.00
_space_group_name_H-M_alt 'F -4 3 m'
_space_group_IT_number 216
_space_group_name_Hall 'F -4 2 3'
loop_
_atom_site_label
_atom_site_fract_x
_atom_site_fract_y
_atom_site_fract_z
Li1 0.0000 0.0000 0.0000
Pt1 0.1252 0.1252 0.3748
Pb1 0.2500 0.2500 0.7500
```

Output
- E: -4.4218 Ry/atom
- DOS(E_F): 0.3780 states/eV per atom
- DFT formation energy: -32.6 kJ/mol of atoms
- Volume: 17.637 Å³/atom

# 9
First-principles (SCAN) data for Li7Mo12S16 at its PBEsol-relaxed geometry, as listed in the Alexandria database.

```
data_Li7Mo12S16
_cell_length_a 6.5593
_cell_length_b 6.6077
_cell_length_c 13.1279
_cell_angle_alpha 93.01
_cell_angle_beta 94.16
_cell_angle_gamma 96.25
_space_group_name_H-M_alt 'P 1'
_space_group_IT_number 1
_space_group_name_Hall 'P 1'
loop_
_atom_site_label
_atom_site_fract_x
_atom_site_fract_y
_atom_site_fract_z
Li1 0.0000 0.0000 0.0000
Li2 0.0189 0.9818 0.5274
Li3 0.3451 0.9371 0.7791
Li4 0.3989 0.9572 0.2744
Li5 0.8799 0.1081 0.7503
Li6 0.9172 0.1220 0.2415
Li7 0.9745 0.6259 0.2797
Mo1 0.2298 0.4065 0.0343
Mo2 0.2360 0.3953 0.5360
Mo3 0.4130 0.5412 0.8745
Mo4 0.4193 0.5340 0.3768
Mo5 0.4556 0.7667 0.0529
Mo6 0.4652 0.7578 0.5554
Mo7 0.5440 0.2267 0.9670
Mo8 0.5516 0.2172 0.4696
Mo9 0.5869 0.4491 0.1453
Mo10 0.5934 0.4432 0.6476
Mo11 0.7716 0.5889 0.9859
Mo12 0.7774 0.5784 0.4882
S1 0.1372 0.7041 0.9436
S2 0.1433 0.6974 0.4487
S3 0.2056 0.2108 0.8699
S4 0.2148 0.1996 0.3715
S5 0.2864 0.6131 0.1949
S6 0.2872 0.6028 0.6937
S7 0.3674 0.1232 0.1184
S8 0.3787 0.1145 0.6220
S9 0.6322 0.8714 0.8999
S10 0.6430 0.8622 0.4033
S11 0.7185 0.3659 0.3271
S12 0.7186 0.3799 0.8289
S13 0.7899 0.7890 0.1492
S14 0.7974 0.7752 0.6520
S15 0.8646 0.2866 0.0748
S16 0.8707 0.2775 0.5776
```

Output
- E: -1.3128 Ry/atom
- DOS(E_F): 0.3867 states/eV per atom
- Formation energy from raw total energies: -35.7 eV/f.u.
- Volume: 16.087 Å³/atom

# 10
First-principles (SCAN) data for LiAgAu2 at its PBEsol-relaxed geometry, as listed in the Alexandria database.

```
data_LiAgAu2
_cell_length_a 3.9504
_cell_length_b 3.9504
_cell_length_c 8.1376
_cell_angle_alpha 90.00
_cell_angle_beta 90.00
_cell_angle_gamma 90.00
_space_group_name_H-M_alt 'I 4/m m m'
_space_group_IT_number 139
_space_group_name_Hall '-I 4 2'
loop_
_atom_site_label
_atom_site_fract_x
_atom_site_fract_y
_atom_site_fract_z
Li1 0.0000 0.0000 0.0000
Ag1 0.0000 0.0000 0.5000
Au1 0.0000 0.5000 0.2500
```

Output
- E: -3.1893 Ry/atom
- DOS(E_F): 0.2191 states/eV per atom
- DFT formation energy: -36.2 kJ/mol of atoms
- Volume: 15.874 Å³/atom

# 11
First-principles (SCAN) data for MgMoNF2 at its PBEsol-relaxed geometry, as listed in the Alexandria database.

```
data_MgMoNF2
_cell_length_a 4.1385
_cell_length_b 4.1385
_cell_length_c 3.8966
_cell_angle_alpha 90.00
_cell_angle_beta 90.00
_cell_angle_gamma 90.00
_space_group_name_H-M_alt 'P 4/m m m'
_space_group_IT_number 123
_space_group_name_Hall '-P 4 2'
loop_
_atom_site_label
_atom_site_fract_x
_atom_site_fract_y
_atom_site_fract_z
Mg1 0.0000 0.0000 0.0000
Mo1 0.5000 0.5000 0.5000
N1 0.5000 0.5000 0.0000
F1 0.0000 0.5000 0.5000
```

Output
- E: -0.9077 Ry/atom
- DOS(E_F): 0.3773 states/eV per atom
- Formation energy from raw total energies: -5.5 eV/f.u.
- Volume: 13.348 Å³/atom

# 12
First-principles (SCAN) data for YAsPSe2 at its PBEsol-relaxed geometry, as listed in the Alexandria database.

```
data_YAsPSe2
_cell_length_a 4.8308
_cell_length_b 4.8308
_cell_length_c 5.4813
_cell_angle_alpha 90.00
_cell_angle_beta 90.00
_cell_angle_gamma 90.00
_space_group_name_H-M_alt 'P 4/m m m'
_space_group_IT_number 123
_space_group_name_Hall '-P 4 2'
loop_
_atom_site_label
_atom_site_fract_x
_atom_site_fract_y
_atom_site_fract_z
Y1 0.0000 0.0000 0.0000
As1 0.0000 0.0000 0.5000
P1 0.5000 0.5000 0.0000
Se1 0.0000 0.5000 0.5000
```

Output
- E: -1.4344 Ry/atom
- DOS(E_F): 0.9172 states/eV per atom
- Formation energy from raw total energies: 1.0 eV/f.u.
- Volume: 25.582 Å³/atom

# 13
First-principles (SCAN) data for Na2IF at its PBEsol-relaxed geometry, as listed in the Alexandria database.

```
data_Na2IF
_cell_length_a 6.8657
_cell_length_b 6.8657
_cell_length_c 8.1956
_cell_angle_alpha 90.00
_cell_angle_beta 90.00
_cell_angle_gamma 90.00
_space_group_name_H-M_alt 'I -4 2 d'
_space_group_IT_number 122
_space_group_name_Hall 'I -4 2bw'
loop_
_atom_site_label
_atom_site_fract_x
_atom_site_fract_y
_atom_site_fract_z
Na1 0.1373 0.2500 0.1250
I1 0.0000 0.0000 0.5000
F1 0.0000 0.0000 0.0000
```

Output
- E: -1.0467 Ry/atom
- DOS(E_F): 0.0000 states/eV per atom
- Formation energy from raw total energies: -8.3 eV/f.u.
- Volume: 24.145 Å³/atom

# 14
First-principles (SCAN) data for KMn8O16 at its PBEsol-relaxed geometry, as listed in the Alexandria database.

```
data_KMn8O16
_cell_length_a 5.6530
_cell_length_b 7.0233
_cell_length_c 7.0261
_cell_angle_alpha 87.65
_cell_angle_beta 78.39
_cell_angle_gamma 78.38
_space_group_name_H-M_alt 'P -1'
_space_group_IT_number 2
_space_group_name_Hall '-P 1'
loop_
_atom_site_label
_atom_site_fract_x
_atom_site_fract_y
_atom_site_fract_z
K1 0.0000 0.0000 0.0000
Mn1 0.0760 0.1814 0.5142
Mn2 0.1671 0.5139 0.8186
Mn3 0.3342 0.4827 0.1809
Mn4 0.4245 0.8190 0.4827
O1 0.0215 0.6262 0.2912
O2 0.1482 0.3556 0.0468
O3 0.1669 0.7087 0.6262
O4 0.1716 0.9536 0.3556
O5 0.3266 0.0461 0.6433
O6 0.3328 0.2938 0.3772
O7 0.3496 0.6433 0.9537
O8 0.4801 0.3763 0.7071
```

Output
- E: -0.9073 Ry/atom
- DOS(E_F): 0.2359 states/eV per atom
- Formation energy from raw total energies: -54.6 eV/f.u.
- Volume: 10.706 Å³/atom

# 15
First-principles (SCAN) data for SrTlSi2 at its PBEsol-relaxed geometry, as listed in the Alexandria database.

```
data_SrTlSi2
_cell_length_a 3.8137
_cell_length_b 4.6739
_cell_length_c 11.0966
_cell_angle_alpha 90.00
_cell_angle_beta 90.00
_cell_angle_gamma 90.00
_space_group_name_H-M_alt 'I m m 2'
_space_group_IT_number 44
_space_group_name_Hall 'I 2 -2'
loop_
_atom_site_label
_atom_site_fract_x
_atom_site_fract_y
_atom_site_fract_z
Sr1 0.0000 0.0000 0.0000
Tl1 0.0000 0.5000 0.7884
Si1 0.0000 0.0000 0.6105
Si2 0.0000 0.5000 0.2442
```

Output
- E: -2.1150 Ry/atom
- DOS(E_F): 0.2854 states/eV per atom
- Formation energy from raw total energies: -0.4 eV/f.u.
- Volume: 24.725 Å³/atom

# 16
First-principles (SCAN) data for LaZnB5O10 at its PBEsol-relaxed geometry, as listed in the Alexandria database.

```
data_LaZnB5O10
_cell_length_a 8.7592
_cell_length_b 7.6180
_cell_length_c 12.6128
_cell_angle_alpha 90.00
_cell_angle_beta 131.14
_cell_angle_gamma 90.00
_space_group_name_H-M_alt 'P 1 21/c 1'
_space_group_IT_number 14
_space_group_name_Hall '-P 2ybc'
loop_
_atom_site_label
_atom_site_fract_x
_atom_site_fract_y
_atom_site_fract_z
La1 0.0541 0.1835 0.2354
Zn1 0.4862 0.5873 0.8773
B1 0.0944 0.6730 0.6100
B2 0.1563 0.5960 0.0048
B3 0.2696 0.0337 0.0523
B4 0.3534 0.5816 0.2659
B5 0.4877 0.1859 0.9160
O1 0.0289 0.7221 0.9897
O2 0.0861 0.1069 0.9152
O3 0.1181 0.5413 0.8876
O4 0.2113 0.7175 0.2388
O5 0.2296 0.5228 0.6450
O6 0.3183 0.6266 0.5094
O7 0.3203 0.5365 0.1367
O8 0.3250 0.0827 0.8124
O9 0.4366 0.1517 0.4332
O10 0.4422 0.1534 0.1281
```

Output
- E: -0.8783 Ry/atom
- DOS(E_F): 0.0000 states/eV per atom
- Formation energy from raw total energies: -47.1 eV/f.u.
- Volume: 9.320 Å³/atom

# 17
First-principles (SCAN) data for MnMoPb2 at its PBEsol-relaxed geometry, as listed in the Alexandria database.

```
data_MnMoPb2
_cell_length_a 3.5329
_cell_length_b 3.5329
_cell_length_c 6.2221
_cell_angle_alpha 90.00
_cell_angle_beta 90.00
_cell_angle_gamma 90.00
_space_group_name_H-M_alt 'P 4/m m m'
_space_group_IT_number 123
_space_group_name_Hall '-P 4 2'
loop_
_atom_site_label
_atom_site_fract_x
_atom_site_fract_y
_atom_site_fract_z
Mn1 0.0000 0.0000 0.0000
Mo1 0.0000 0.0000 0.5000
Pb1 0.5000 0.5000 0.2524
```

Output
- E: -3.7213 Ry/atom
- DOS(E_F): 0.7339 states/eV per atom
- DFT formation energy: 52.5 kJ/mol of atoms
- Volume: 19.415 Å³/atom

# 18
First-principles (SCAN) data for Mg5Ir at its PBEsol-relaxed geometry, as listed in the Alexandria database.

```
data_Mg5Ir
_cell_length_a 5.1945
_cell_length_b 5.1945
_cell_length_c 4.7031
_cell_angle_alpha 90.00
_cell_angle_beta 90.00
_cell_angle_gamma 120.00
_space_group_name_H-M_alt 'P -6 2 m'
_space_group_IT_number 189
_space_group_name_Hall 'P -6 -2'
loop_
_atom_site_label
_atom_site_fract_x
_atom_site_fract_y
_atom_site_fract_z
Mg1 0.0000 0.3088 0.0000
Mg2 0.3333 0.6667 0.5000
Ir1 0.0000 0.0000 0.5000
```

Output
- E: -1.1909 Ry/atom
- DOS(E_F): 0.4490 states/eV per atom
- DFT formation energy: -20.1 kJ/mol of atoms
- Volume: 18.317 Å³/atom

# 19
First-principles (SCAN) data for BeW at its PBEsol-relaxed geometry, as listed in the Alexandria database.

```
data_BeW
_cell_length_a 2.6983
_cell_length_b 2.6983
_cell_length_c 25.0758
_cell_angle_alpha 90.00
_cell_angle_beta 90.00
_cell_angle_gamma 120.00
_space_group_name_H-M_alt 'R -3 m'
_space_group_IT_number 166
_space_group_name_Hall '-R 3 2"'
loop_
_atom_site_label
_atom_site_fract_x
_atom_site_fract_y
_atom_site_fract_z
Be1 0.0000 0.0000 0.1313
W1 0.0000 0.0000 0.3820
```

Output
- E: -2.6854 Ry/atom
- DOS(E_F): 0.4374 states/eV per atom
- DFT formation energy: 46.7 kJ/mol of atoms
- Volume: 13.176 Å³/atom

# 20
First-principles (SCAN) data for Sr2MoPb at its PBEsol-relaxed geometry, as listed in the Alexandria database.

```
data_Sr2MoPb
_cell_length_a 4.9780
_cell_length_b 4.9780
_cell_length_c 9.4124
_cell_angle_alpha 90.00
_cell_angle_beta 90.00
_cell_angle_gamma 90.00
_space_group_name_H-M_alt 'I 4/m m m'
_space_group_IT_number 139
_space_group_name_Hall '-I 4 2'
loop_
_atom_site_label
_atom_site_fract_x
_atom_site_fract_y
_atom_site_fract_z
Sr1 0.0000 0.5000 0.2500
Mo1 0.0000 0.0000 0.0000
Pb1 0.0000 0.0000 0.5000
```

Output
- E: -2.8256 Ry/atom
- DOS(E_F): 0.3324 states/eV per atom
- DFT formation energy: 34.8 kJ/mol of atoms
- Volume: 29.155 Å³/atom